1.
# YTi2Mo PBE relaxed
# **N(E_F)**: 6.92 states/eV/f.u.
# **DFT formation energy**: 0.704 eV per atom
# **M_tot**: 0.000 μB per cell
# **V**: 20.6 Å³ per atom
data_YTi2Mo
_chemical_formula_sum 'Y4 Ti8 Mo4'
_symmetry_space_group_name_H-M 'I -4 2 d'
_symmetry_Int_Tables_number 122
_symmetry_space_group_name_Hall 'I -4 2bw'
_cell_length_a 4.097
_cell_length_b 4.097
_cell_length_c 19.599
_cell_angle_alpha 90.00
_cell_angle_beta 90.00
_cell_angle_gamma 90.00
loop_
_atom_site_label
_atom_site_fract_x
_atom_site_fract_y
_atom_site_fract_z
Y1 0.000 0.000 0.000
Ti1 0.225 0.250 0.625
Mo1 0.000 0.000 0.500


2.
# PrICl2 PBE relaxed
# **N(E_F)**: 0.00 states/eV/f.u.
# **M_tot**: 0.000 μB per cell
# **Final energy**: -4.4877 eV per atom
# **V**: 34.6 Å³ per atom
data_PrICl2
_chemical_formula_sum 'Pr4 I4 Cl8'
_symmetry_space_group_name_H-M 'C m c m'
_symmetry_Int_Tables_number 63
_symmetry_space_group_name_Hall '-C 2c 2'
_cell_length_a 4.175
_cell_length_b 14.961
_cell_length_c 8.865
_cell_angle_alpha 90.00
_cell_angle_beta 90.00
_cell_angle_gamma 90.00
loop_
_atom_site_label
_atom_site_fract_x
_atom_site_fract_y
_atom_site_fract_z
Pr1 0.000 0.239 0.250
I1 0.000 0.420 0.750
Cl1 0.000 0.174 0.572


3.
# SrBe2As PBE relaxed
# **N(E_F)**: 1.73 states/eV/f.u.
# **DFT formation energy**: -0.131 eV per atom
# **M_tot**: 0.000 μB per cell
# **V**: 19.4 Å³ per atom
data_SrBe2As
_chemical_formula_sum 'Sr1 Be2 As1'
_symmetry_space_group_name_H-M 'P 1'
_symmetry_Int_Tables_number 1
_cell_length_a 3.798
_cell_length_b 3.828
_cell_length_c 5.974
_cell_angle_alpha 104.87
_cell_angle_beta 92.95
_cell_angle_gamma 110.59
loop_
_symmetry_equiv_pos_as_xyz
'x,y,z'
loop_
_atom_site_label
_atom_site_fract_x
_atom_site_fract_y
_atom_site_fract_z
Sr1 0.000 0.000 0.000
Be1 0.386 0.859 0.410
Be2 0.754 0.480 0.399
As1 0.273 0.423 0.614


4.
# AlCdGe PBE relaxed
# **N(E_F)**: 1.68 states/eV/f.u.
# **DFT formation energy**: 0.178 eV per atom
# **M_tot**: 0.000 μB per cell
# **V**: 22.0 Å³ per atom
data_AlCdGe
_chemical_formula_sum 'Al4 Cd4 Ge4'
_symmetry_space_group_name_H-M 'F -4 3 m'
_symmetry_Int_Tables_number 216
_symmetry_space_group_name_Hall 'F -4 2 3'
_cell_length_a 6.413
_cell_length_b 6.413
_cell_length_c 6.413
_cell_angle_alpha 90.00
_cell_angle_beta 90.00
_cell_angle_gamma 90.00
loop_
_atom_site_label
_atom_site_fract_x
_atom_site_fract_y
_atom_site_fract_z
Al1 0.000 0.000 0.000
Cd1 0.250 0.250 0.250
Ge1 0.250 0.250 0.750


5.
# MgAl2Pb PBE relaxed
# **N(E_F)**: 1.13 states/eV/f.u.
# **DFT formation energy**: 0.141 eV per atom
# **M_tot**: 0.000 μB per cell
# **V**: 21.9 Å³ per atom
data_MgAl2Pb
_chemical_formula_sum 'Mg1 Al2 Pb1'
_symmetry_space_group_name_H-M 'P 4/m m m'
_symmetry_Int_Tables_number 123
_symmetry_space_group_name_Hall '-P 4 2'
_cell_length_a 4.390
_cell_length_b 4.390
_cell_length_c 4.555
_cell_angle_alpha 90.00
_cell_angle_beta 90.00
_cell_angle_gamma 90.00
loop_
_atom_site_label
_atom_site_fract_x
_atom_site_fract_y
_atom_site_fract_z
Mg1 0.000 0.000 0.000
Al1 0.000 0.500 0.500
Pb1 0.500 0.500 0.000


6.
# K2P2Ir PBE relaxed
# **N(E_F)**: 1.85 states/eV/f.u.
# **DFT formation energy**: -0.416 eV per atom
# **M_tot**: 0.000 μB per cell
# **V**: 20.5 Å³ per atom
data_K2P2Ir
_chemical_formula_sum 'K4 P4 Ir2'
_symmetry_space_group_name_H-M 'P 4/m b m'
_symmetry_Int_Tables_number 127
_symmetry_space_group_name_Hall '-P 4 2ab'
_cell_length_a 6.104
_cell_length_b 6.104
_cell_length_c 5.495
_cell_angle_alpha 90.00
_cell_angle_beta 90.00
_cell_angle_gamma 90.00
loop_
_atom_site_label
_atom_site_fract_x
_atom_site_fract_y
_atom_site_fract_z
K1 0.181 0.319 0.000
P1 0.131 0.631 0.500
Ir1 0.000 0.000 0.500


7.
# Nd5ThAs6 PBE relaxed
# **N(E_F)**: 3.35 states/eV/f.u.
# **DFT formation energy**: -1.517 eV per atom
# **M_tot**: 0.000 μB per cell
# **V**: 27.5 Å³ per atom
data_Nd5ThAs6
_chemical_formula_sum 'Nd10 Th2 As12'
_symmetry_space_group_name_H-M 'C 1 2/m 1'
_symmetry_Int_Tables_number 12
_cell_length_a 7.400
_cell_length_b 12.805
_cell_length_c 7.394
_cell_angle_alpha 90.00
_cell_angle_beta 109.48
_cell_angle_gamma 90.00
loop_
_symmetry_equiv_pos_as_xyz
'x,y,z'
'-x,-y,-z'
'-x,y,-z'
'x,-y,z'
'x+1/2,y+1/2,z'
'-x+1/2,-y+1/2,-z'
'-x+1/2,y+1/2,-z'
'x+1/2,-y+1/2,z'
loop_
_atom_site_label
_atom_site_fract_x
_atom_site_fract_y
_atom_site_fract_z
Nd1 0.000 0.000 0.000
Nd2 0.000 0.166 0.500
Nd3 0.000 0.332 0.000
Th1 0.000 0.500 0.500
As1 0.247 0.500 0.252
As2 0.248 0.335 0.749


8.
# CeAlGe2Rh5 PBE relaxed
# **N(E_F)**: 8.37 states/eV/f.u.
# **DFT formation energy**: -0.507 eV per atom
# **M_tot**: 0.751 μB per cell
# **V**: 18.9 Å³ per atom
data_CeAlGe2Rh5
_chemical_formula_sum 'Ce1 Al1 Ge2 Rh5'
_symmetry_space_group_name_H-M 'P 4/m m m'
_symmetry_Int_Tables_number 123
_symmetry_space_group_name_Hall '-P 4 2'
_cell_length_a 4.054
_cell_length_b 4.054
_cell_length_c 10.332
_cell_angle_alpha 90.00
_cell_angle_beta 90.00
_cell_angle_gamma 90.00
loop_
_atom_site_label
_atom_site_fract_x
_atom_site_fract_y
_atom_site_fract_z
Ce1 0.000 0.000 0.000
Al1 0.000 0.000 0.500
Ge1 0.500 0.500 0.232
Rh1 0.000 0.500 0.358
Rh2 0.500 0.500 0.000